Entry 1:
The following is a PBE-GGA calculation of PuZr2Se4 after structural relaxation, from the Alexandria database.

Cell lengths 3.9263, 6.6056, 13.4109 Å; angles 90.00, 90.00, 107.29 degrees
Site moments in Bohr magnetons follow the coordinates.
Sites, in units of the cell vectors:
Pu1 0.3867 0.7734 0.2500  5.43
Pu2 0.6133 0.2266 0.7500  5.43
Se1 0.7717 0.5435 0.3762  -0.03
Se2 0.5000 0.0000 0.0000  -0.01
Se3 0.7717 0.5435 0.1238  -0.03
Se4 0.9431 0.8862 0.7500  -0.04
Se5 0.2283 0.4565 0.6238  -0.03
Se6 0.2283 0.4565 0.8762  -0.03
Se7 0.5000 0.0000 0.5000  -0.01
Se8 0.0569 0.1138 0.2500  -0.04
Zr1 0.1347 0.2693 0.4408  0.05
Zr2 0.8653 0.7307 0.9408  0.05
Zr3 0.8653 0.7307 0.5592  0.05
Zr4 0.1347 0.2693 0.0592  0.05

E_form (uncorrected) in eV per atom: -1.30

Entry 2:
The following is a PBE-GGA calculation of AcMg3Tl4O12 after structural relaxation, from the Alexandria database.

Cell lengths 7.1527, 7.1527, 7.1527 Å; angles 109.47, 109.47, 109.47 degrees
Site moments in Bohr magnetons follow the coordinates.
Sites, in units of the cell vectors:
Mg1 0.5000 0.5000 0.0000  0.00
Mg2 0.5000 0.0000 0.5000  0.00
Mg3 0.0000 0.5000 0.5000  0.00
O1 0.8448 0.5364 0.6916  0.22
O2 0.8469 0.6916 0.1552  0.22
O3 0.1552 0.8469 0.6916  0.22
O4 0.6916 0.8448 0.5364  0.22
O5 0.8448 0.1531 0.3084  0.22
O6 0.5364 0.6916 0.8448  0.22
O7 0.6916 0.1552 0.8469  0.22
O8 0.4636 0.3084 0.1552  0.22
O9 0.3084 0.1552 0.4636  0.22
O10 0.1552 0.4636 0.3084  0.22
O11 0.1531 0.3084 0.8448  0.22
O12 0.3084 0.8448 0.1531  0.22
Tl1 0.0000 0.5000 0.0000  0.01
Tl2 0.5000 0.0000 0.0000  0.01
Tl3 0.0000 0.0000 0.5000  0.01
Tl4 0.5000 0.5000 0.5000  0.01
Ac1 0.0000 0.0000 0.0000  -0.01

E_form (uncorrected) in eV per atom: -1.31

Entry 3:
The following is a PBE-GGA calculation of In12S5Br3 after structural relaxation, from the Alexandria database.

Cell lengths 15.5054, 15.5054, 15.5054 Å; angles 109.47, 109.47, 109.47 degrees
Sites, in units of the cell vectors:
In1 0.6362 0.0452 0.2192
In2 0.0452 0.4090 0.8260
In3 0.9090 0.0830 0.8638
In4 0.0910 0.9170 0.1362
In5 0.6740 0.4548 0.5910
In6 0.1740 0.0910 0.9548
In7 0.7192 0.5830 0.1740
In8 0.1362 0.7192 0.5452
In9 0.3638 0.4090 0.0830
In10 0.8638 0.2808 0.4548
In11 0.5452 0.2192 0.1362
In12 0.5830 0.7192 0.6740
In13 0.9170 0.0910 0.6362
In14 0.9548 0.5910 0.1740
In15 0.7808 0.4548 0.3638
In16 0.7192 0.1362 0.0452
In17 0.5830 0.8638 0.4090
In18 0.1362 0.4170 0.0910
In19 0.4170 0.2808 0.3260
In20 0.4548 0.6740 0.0910
In21 0.8260 0.9170 0.2808
In22 0.0452 0.6362 0.7192
In23 0.5910 0.9548 0.6740
In24 0.3260 0.5452 0.4090
In25 0.6362 0.5910 0.9170
In26 0.7808 0.3260 0.9170
In27 0.1740 0.0830 0.7192
In28 0.8638 0.5830 0.9090
In29 0.9090 0.8260 0.5452
In30 0.3260 0.7808 0.4170
In31 0.0830 0.9090 0.3638
In32 0.8260 0.9090 0.0452
In33 0.5910 0.6362 0.4170
In34 0.0910 0.1740 0.4548
In35 0.6740 0.2192 0.5830
In36 0.9548 0.3638 0.2808
In37 0.4090 0.3638 0.5830
In38 0.3638 0.9548 0.7808
In39 0.2808 0.4170 0.8260
In40 0.4170 0.1362 0.5910
In41 0.4090 0.0452 0.3260
In42 0.2192 0.5452 0.6362
In43 0.2808 0.8638 0.9548
In44 0.2192 0.6740 0.0830
In45 0.0830 0.1740 0.2192
In46 0.4548 0.7808 0.8638
In47 0.5452 0.3260 0.9090
In48 0.9170 0.8260 0.7808
S1 0.0000 0.0000 0.0000
S2 0.0000 0.5000 0.5000
S3 0.5000 0.0000 0.0000
S4 0.6250 0.7500 0.8750
S5 0.3750 0.1250 0.7500
S6 0.2500 0.8750 0.1250
S7 0.0000 0.5000 0.0000
S8 0.2500 0.3750 0.6250
S9 0.0000 0.0000 0.5000
S10 0.6250 0.8750 0.2500
S11 0.8750 0.6250 0.7500
S12 0.1250 0.7500 0.3750
S13 0.5000 0.5000 0.0000
S14 0.1250 0.3750 0.2500
S15 0.5000 0.0000 0.5000
S16 0.7500 0.1250 0.8750
S17 0.3750 0.2500 0.1250
S18 0.7500 0.6250 0.3750
S19 0.8750 0.2500 0.6250
S20 0.5000 0.5000 0.5000
Br1 0.3750 0.6250 0.2500
Br2 0.8750 0.1250 0.2500
Br3 0.7500 0.3750 0.1250
Br4 0.2500 0.6250 0.8750
Br5 0.6250 0.2500 0.3750
Br6 0.3750 0.7500 0.6250
Br7 0.1250 0.8750 0.7500
Br8 0.7500 0.8750 0.6250
Br9 0.8750 0.7500 0.1250
Br10 0.6250 0.3750 0.7500
Br11 0.2500 0.1250 0.3750
Br12 0.1250 0.2500 0.8750

E_form (uncorrected) in eV per atom: -0.20

Entry 4:
The following is a PBE-GGA calculation of SrTi3Pb after structural relaxation, from the Alexandria database.

Cell lengths 5.3536, 5.3536, 5.3536 Å; angles 90.00, 90.00, 90.00 degrees
Site moments in Bohr magnetons follow the coordinates.
Sites, in units of the cell vectors:
Sr1 0.5000 0.5000 0.5000  0.11
Pb1 0.0000 0.0000 0.0000  -0.02
Ti1 0.0000 0.0000 0.5000  1.44
Ti2 0.0000 0.5000 0.0000  1.37
Ti3 0.5000 0.0000 0.0000  1.46

Excess energy over the best structure of this formula in the dataset in eV per atom: 0.0000
Formation enthalpy at 0 K in eV per atom: 0.958

Entry 5:
The following is a PBE-GGA calculation of Nd5TlGa4 after structural relaxation, from the Alexandria database.

Cell lengths 3.7162, 3.7162, 18.9419 Å; angles 90.00, 90.00, 90.00 degrees
Sites, in units of the cell vectors:
Ga1 0.0000 0.0000 0.5967
Ga2 0.0000 0.0000 0.4033
Ga3 0.0000 0.0000 0.7910
Ga4 0.0000 0.0000 0.2090
Nd1 0.5000 0.5000 0.6932
Nd2 0.5000 0.5000 0.5000
Nd3 0.5000 0.5000 0.1124
Nd4 0.5000 0.5000 0.8876
Nd5 0.5000 0.5000 0.3068
Tl1 0.0000 0.0000 0.0000

Formation enthalpy at 0 K in eV per atom: -0.522

Entry 6:
The following is a PBE-GGA calculation of TaSe2Br after structural relaxation, from the Alexandria database.

Cell lengths 7.1203, 7.1203, 7.1203 Å; angles 153.97, 134.34, 53.32 degrees
Sites, in units of the cell vectors:
Ta1 0.2500 0.7500 0.5000
Se1 0.4052 0.4052 0.0000
Se2 0.0948 0.0948 0.0000
Br1 0.7500 0.2500 0.5000

Excess energy over the best structure of this formula in the dataset in eV per atom: 0.4762
E_form (uncorrected) in eV per atom: -0.21

Entry 7:
The following is a PBE-GGA calculation of TbPrOsAu after structural relaxation, from the Alexandria database.

Cell lengths 5.0585, 5.0585, 5.0585 Å; angles 60.00, 60.00, 60.00 degrees
Sites, in units of the cell vectors:
Pr1 0.2500 0.2500 0.2500
Au1 0.0000 0.0000 0.0000
Tb1 0.7500 0.7500 0.7500
Os1 0.5000 0.5000 0.5000

Formation enthalpy at 0 K in eV per atom: -0.338

Entry 8:
The following is a PBE-GGA calculation of Sc2Bi2Pd after structural relaxation, from the Alexandria database.

Cell lengths 7.2746, 7.2746, 4.5872 Å; angles 90.00, 90.00, 90.00 degrees
Sites, in units of the cell vectors:
Sc1 0.8420 0.6580 0.0000
Sc2 0.1580 0.3420 0.0000
Sc3 0.3420 0.8420 0.0000
Sc4 0.6580 0.1580 0.0000
Pd1 0.0000 0.0000 0.0000
Pd2 0.5000 0.5000 0.0000
Bi1 0.1614 0.6614 0.5000
Bi2 0.8386 0.3386 0.5000
Bi3 0.3386 0.1614 0.5000
Bi4 0.6614 0.8386 0.5000

Excess energy over the best structure of this formula in the dataset in eV per atom: 0.0425
Formation enthalpy at 0 K in eV per atom: -0.358

Entry 9:
The following is a PBE-GGA calculation of YErAu4 after structural relaxation, from the Alexandria database.

Cell lengths 3.7352, 3.7352, 9.0697 Å; angles 90.00, 90.00, 90.00 degrees
Sites, in units of the cell vectors:
Er1 0.5000 0.5000 0.5000
Au1 0.5000 0.5000 0.8329
Au2 0.5000 0.5000 0.1671
Au3 0.0000 0.0000 0.3372
Au4 0.0000 0.0000 0.6628
Y1 0.0000 0.0000 0.0000

Formation enthalpy at 0 K in eV per atom: -0.869

Entry 10:
The following is a PBE-GGA calculation of Cs2HgPb3Br8 after structural relaxation, from the Alexandria database.

Cell lengths 9.1513, 9.1513, 10.4833 Å; angles 64.12, 64.12, 60.00 degrees
Sites, in units of the cell vectors:
Br1 0.2466 0.6999 0.8069
Br2 0.7576 0.7576 0.1873
Br3 0.2975 0.7576 0.1873
Br4 0.7576 0.2975 0.1873
Br5 0.2697 0.2697 0.1908
Br6 0.6999 0.2466 0.8069
Br7 0.7264 0.7264 0.8209
Br8 0.2466 0.2466 0.8069
Cs1 0.5011 0.5011 0.4967
Cs2 0.1362 0.1362 0.5915
Pb1 0.9933 0.5014 0.0039
Pb2 0.5014 0.9933 0.0039
Pb3 0.5014 0.5014 0.0039
Hg1 0.8574 0.8574 0.4277

E_form (uncorrected) in eV per atom: -1.08

Entry 11:
The following is a PBE-GGA calculation of K2BeCo after structural relaxation, from the Alexandria database.

Cell lengths 11.4593, 11.4593, 11.4593 Å; angles 15.23, 15.23, 15.23 degrees
Site moments in Bohr magnetons follow the coordinates.
Sites, in units of the cell vectors:
Co1 0.7500 0.7500 0.7500  1.47
Be1 0.2500 0.2500 0.2500  -0.01
K1 0.0034 0.0034 0.0034  -0.03
K2 0.4966 0.4966 0.4966  -0.03

Formation enthalpy at 0 K in eV per atom: 1.366

Entry 12:
The following is a PBE-GGA calculation of CeNd6Ho10 after structural relaxation, from the Alexandria database.

Cell lengths 6.9092, 9.6908, 9.6908 Å; angles 120.00, 90.00, 90.00 degrees
Site moments in Bohr magnetons follow the coordinates.
Sites, in units of the cell vectors:
Nd1 0.2987 0.0000 0.3799  0.01
Nd2 0.2987 0.3799 0.0000  0.01
Nd3 0.7013 0.3799 0.3799  0.01
Nd4 0.2987 0.6201 0.6201  0.01
Nd5 0.7013 0.0000 0.6201  0.01
Nd6 0.7013 0.6201 0.0000  0.01
Ho1 0.1828 0.7291 0.0000  0.02
Ho2 0.5000 0.3333 0.6667  0.01
Ho3 0.0000 0.3333 0.6667  0.00
Ho4 0.1828 0.0000 0.7291  0.02
Ho5 0.1828 0.2709 0.2709  0.02
Ho6 0.5000 0.6667 0.3333  0.01
Ho7 0.8172 0.0000 0.2709  0.02
Ho8 0.8172 0.2709 0.0000  0.02
Ho9 0.0000 0.6667 0.3333  0.00
Ho10 0.8172 0.7291 0.7291  0.02
Ce1 0.5000 0.0000 0.0000  0.88

Formation enthalpy at 0 K in eV per atom: 0.145

Entry 13:
The following is a PBE-GGA calculation of SrCuSb2 after structural relaxation, from the Alexandria database.

Cell lengths 5.1674, 4.8895, 4.8239 Å; angles 89.35, 90.00, 90.00 degrees
Sites, in units of the cell vectors:
Cu1 0.5000 0.8869 0.7992
Sr1 0.0000 0.5313 0.4458
Sb1 0.5000 0.0573 0.3036
Sb2 0.0000 0.0245 0.9514

E_form (uncorrected) in eV per atom: -0.32

Entry 14:
The following is a PBE-GGA calculation of KBa2Hg after structural relaxation, from the Alexandria database.

Cell lengths 4.2664, 4.2595, 12.1053 Å; angles 69.29, 90.00, 90.00 degrees
Sites, in units of the cell vectors:
Hg1 0.5000 0.2500 0.2500
K1 0.5000 0.7500 0.7500
Ba1 0.0000 0.9246 0.0759
Ba2 0.0000 0.5754 0.4241

Formation enthalpy at 0 K in eV per atom: -0.263

Entry 15:
The following is a PBE-GGA calculation of TmCd3Au12 after structural relaxation, from the Alexandria database.

Cell lengths 4.2452, 4.2452, 16.8100 Å; angles 90.00, 90.00, 90.00 degrees
Sites, in units of the cell vectors:
Au1 0.5000 0.0000 0.3761
Au2 0.0000 0.5000 0.1266
Au3 0.0000 0.5000 0.3761
Au4 0.0000 0.5000 0.8734
Au5 0.0000 0.5000 0.6239
Au6 0.5000 0.5000 0.7478
Au7 0.5000 0.5000 0.5000
Au8 0.5000 0.5000 0.2522
Au9 0.5000 0.0000 0.6239
Au10 0.5000 0.5000 0.0000
Au11 0.5000 0.0000 0.8734
Au12 0.5000 0.0000 0.1266
Tm1 0.0000 0.0000 0.0000
Cd1 0.0000 0.0000 0.7467
Cd2 0.0000 0.0000 0.5000
Cd3 0.0000 0.0000 0.2533

Formation enthalpy at 0 K in eV per atom: -0.240

Entry 16:
The following is a PBE-GGA calculation of LiSe2I after structural relaxation, from the Alexandria database.

Cell lengths 5.1482, 5.1482, 5.1482 Å; angles 60.00, 60.00, 60.00 degrees
Sites, in units of the cell vectors:
Li1 0.0000 0.0000 0.0000
I1 0.5000 0.5000 0.5000
Se1 0.7500 0.7500 0.7500
Se2 0.2500 0.2500 0.2500

Excess energy over the best structure of this formula in the dataset in eV per atom: 0.4513
E_form (uncorrected) in eV per atom: 0.26

Entry 17:
The following is a PBE-GGA calculation of Sr2YTa after structural relaxation, from the Alexandria database.

Cell lengths 6.4979, 6.4979, 3.3961 Å; angles 90.00, 90.00, 116.62 degrees
Site moments in Bohr magnetons follow the coordinates.
Sites, in units of the cell vectors:
Y1 0.0000 0.5000 0.5000  -0.01
Sr1 0.0000 0.0000 0.0000  0.01
Sr2 0.5000 0.5000 0.0000  0.01
Ta1 0.5000 0.0000 0.5000  0.44

Excess energy over the best structure of this formula in the dataset in eV per atom: 0.3379
Formation enthalpy at 0 K in eV per atom: 0.889

Entry 18:
The following is a PBE-GGA calculation of Tb4ErTe4 after structural relaxation, from the Alexandria database.

Cell lengths 7.1714, 7.1714, 7.9017 Å; angles 116.99, 116.99, 90.00 degrees
Sites, in units of the cell vectors:
Te1 0.9567 0.3712 0.3279
Te2 0.3712 0.9567 0.3279
Te3 0.6288 0.6288 0.6721
Te4 0.0433 0.0433 0.6721
Tb1 0.5000 0.0000 0.0000
Tb2 0.0000 0.5000 0.0000
Tb3 0.3576 0.3576 0.7151
Tb4 0.6424 0.6424 0.2849
Er1 0.0000 0.0000 0.0000

E_form (uncorrected) in eV per atom: -0.76

Entry 19:
The following is a PBE-GGA calculation of Be2BiPt2 after structural relaxation, from the Alexandria database.

Cell lengths 7.3521, 7.3521, 2.8822 Å; angles 90.00, 90.00, 90.00 degrees
Sites, in units of the cell vectors:
Pt1 0.8563 0.6437 0.0000
Pt2 0.1437 0.3563 0.0000
Pt3 0.3563 0.8563 0.0000
Pt4 0.6437 0.1437 0.0000
Bi1 0.5000 0.5000 0.0000
Bi2 0.0000 0.0000 0.0000
Be1 0.3751 0.1249 0.5000
Be2 0.8751 0.3751 0.5000
Be3 0.6249 0.8751 0.5000
Be4 0.1249 0.6249 0.5000

Excess energy over the best structure of this formula in the dataset in eV per atom: 0.1407
Formation enthalpy at 0 K in eV per atom: -0.229

Entry 20:
The following is a PBE-GGA calculation of Ba2NaHg4Au3 after structural relaxation, from the Alexandria database.

Cell lengths 4.5846, 4.5846, 13.3722 Å; angles 90.00, 90.00, 90.00 degrees
Sites, in units of the cell vectors:
Au1 0.5000 0.0000 0.8574
Au2 0.0000 0.5000 0.1426
Au3 0.0000 0.0000 0.5000
Hg1 0.5000 0.5000 0.0000
Hg2 0.5000 0.0000 0.6416
Hg3 0.0000 0.5000 0.3584
Hg4 0.0000 0.0000 0.0000
Na1 0.5000 0.5000 0.5000
Ba1 0.0000 0.5000 0.7675
Ba2 0.5000 0.0000 0.2325

Formation enthalpy at 0 K in eV per atom: -0.431